Material: MgZn3Te4
Method: DFT, PBE
State: optimized geometry

Unit cell a=7.670 b=7.670 c=7.670 alpha=131.79 beta=131.79 gamma=70.56
Fractional coordinates of all 8 atoms:
Mg1 0.000 0.000 0.000
Zn1 0.250 0.750 0.500
Zn2 0.500 0.500 0.000
Zn3 0.750 0.250 0.500
Te1 0.130 0.130 0.517
Te2 0.387 0.870 0.000
Te3 0.613 0.613 0.483
Te4 0.870 0.387 0.000

Space group: I-42m
Total moment: 0.00 μB per cell
ΔE_f (raw): -54.0 kJ/mol of atoms
Crystal system: tetragonal
ρ: 4.94 g/cm3
Electronic total energy: -2.81 eV per atom

---

Material: MgZn4Te
Method: DFT, PBE
State: optimized geometry

Unit cell a=5.436 b=5.436 c=5.436 alpha=60.00 beta=60.00 gamma=60.00
Fractional coordinates of all 6 atoms:
Mg1 0.000 0.000 0.000
Zn1 0.374 0.374 0.374
Zn2 0.374 0.374 0.879
Zn3 0.374 0.879 0.374
Zn4 0.879 0.374 0.374
Te1 0.750 0.750 0.750

Space group: F-43m
Total moment: 0.00 μB per cell
ΔE_f (raw): 8.1 kJ/mol of atoms
Crystal system: cubic
ρ: 6.04 g/cm3
Electronic total energy: -1.55 eV per atom

---

Material: MgZnTe3
Method: DFT, PBE
State: optimized geometry

Unit cell a=5.478 b=5.478 c=5.478 alpha=90.00 beta=90.00 gamma=90.00
Fractional coordinates of all 5 atoms:
Mg1 0.000 0.000 0.000
Zn1 0.500 0.500 0.500
Te1 0.000 0.000 0.500
Te2 0.000 0.500 0.000
Te3 0.500 0.000 0.000

Space group: Pm-3m
Total moment: 0.00 μB per cell
E above lowest polymorph: 109 meV per atom
ΔE_f (raw): 34.7 kJ/mol of atoms
Crystal system: cubic
ρ: 4.77 g/cm3
Electronic total energy: -2.10 eV per atom

---

Material: MgZn2Te
Method: DFT, PBE
State: optimized geometry

Unit cell a=6.588 b=6.588 c=3.991 alpha=107.25 beta=107.25 gamma=35.25
Fractional coordinates of all 4 atoms:
Mg1 0.000 0.000 0.000
Zn1 0.260 0.260 0.260
Zn2 0.740 0.740 0.740
Te1 0.500 0.500 0.500

Space group: C2/m
Total moment: 0.00 μB per cell
E above lowest polymorph: 50 meV per atom
ΔE_f (raw): -11.5 kJ/mol of atoms
Crystal system: monoclinic
ρ: 4.94 g/cm3
Electronic total energy: -1.94 eV per atom

---

Material: MgZn2Te
Method: DFT, PBE
State: optimized geometry

Unit cell a=3.836 b=3.836 c=6.235 alpha=90.00 beta=90.00 gamma=90.00
Fractional coordinates of all 4 atoms:
Mg1 0.000 0.000 0.000
Zn1 0.000 0.000 0.560
Zn2 0.500 0.500 0.651
Te1 0.500 0.500 0.158

Space group: P4mm
Total moment: 0.00 μB per cell
E above lowest polymorph: 111 meV per atom
ΔE_f (raw): -5.7 kJ/mol of atoms
Crystal system: tetragonal
ρ: 5.12 g/cm3
Electronic total energy: -1.88 eV per atom

---

Material: Mg2ZnTe2
Method: DFT, PBE
State: optimized geometry

Unit cell a=8.052 b=8.052 c=3.883 alpha=90.00 beta=90.00 gamma=90.00
Fractional coordinates of all 10 atoms:
Mg1 0.141 0.359 0.000
Mg2 0.359 0.859 0.000
Mg3 0.641 0.141 0.000
Mg4 0.859 0.641 0.000
Zn1 0.000 0.000 0.000
Zn2 0.500 0.500 0.000
Te1 0.164 0.664 0.500
Te2 0.336 0.164 0.500
Te3 0.664 0.836 0.500
Te4 0.836 0.336 0.500

Space group: P4/mbm
Total moment: 0.00 μB per cell
E above lowest polymorph: 0 meV per atom
ΔE_f (raw): -30.1 kJ/mol of atoms
Crystal system: tetragonal
ρ: 4.87 g/cm3
Electronic total energy: -2.46 eV per atom

---

Material: MgZrTe
Method: DFT, PBE
State: optimized geometry

Unit cell a=3.676 b=3.676 c=6.696 alpha=90.00 beta=90.00 gamma=120.00
Fractional coordinates of all 3 atoms:
Mg1 0.000 0.000 0.000
Zr1 0.333 0.667 0.642
Te1 0.667 0.333 0.351

Space group: P3m1
Total moment: 0.49 μB per cell
E above lowest polymorph: 145 meV per atom
ΔE_f (raw): -25.6 kJ/mol of atoms
Crystal system: trigonal
ρ: 5.15 g/cm3
Electronic total energy: -4.69 eV per atom

---

Material: Mg2ZrTe
Method: DFT, PBE
State: optimized geometry

Unit cell a=5.607 b=5.607 c=5.607 alpha=134.54 beta=134.54 gamma=66.24
Fractional coordinates of all 4 atoms:
Mg1 0.000 0.000 0.000
Mg2 0.750 0.250 0.500
Zr1 0.250 0.750 0.500
Te1 0.500 0.500 0.000

Space group: I-4m2
Total moment: 0.00 μB per cell
ΔE_f (raw): -26.2 kJ/mol of atoms
Crystal system: tetragonal
ρ: 5.04 g/cm3
Electronic total energy: -3.99 eV per atom